Material: Sm5DyS6
Method: DFT, PBE
State: relaxed

Geometry as extended XYZ:
```
12
Lattice="-0.3146 5.1246 4.6187 -5.5850 -0.8058 3.9923 0.4357 -3.6790 5.8510" Properties=species:S:1:pos:R:3 pbc="T T T"
S -0.5537 2.5944 5.7251
S -3.2337 -0.4193 5.4082
S -1.4458 1.0736 2.1232
S -4.4539 3.2451 6.4878
S -2.2303 1.0590 9.0538
S -4.9103 -1.9547 8.7369
Sm -0.8162 -0.0059 6.8533
Sm -1.7120 -1.4994 3.2864
Sm -2.9498 2.1594 4.3055
Sm -3.4373 -2.9854 6.5569
Sm -4.6478 0.6456 7.6087
Dy 0.0000 0.0000 0.0000
```

Output
formation energy (no corrections): -46.62 kcal/mol of atoms
calculated total energy: -0.473 Ry per atom

---

Material: SiSnCl2
Method: DFT, PBE
State: relaxed

Geometry as extended XYZ:
```
4
Lattice="1.9319 0.0000 9.5311 -0.9660 1.6731 9.5311 -0.9660 -1.6731 9.5311" Properties=species:S:1:pos:R:3 pbc="T T T"
Si 0.0000 0.0000 0.0000
Sn 0.0000 0.0000 14.2966
Cl 0.0000 0.0000 26.2184
Cl 0.0000 0.0000 2.3748
```

Output
formation energy (no corrections): -3.45 kcal/mol of atoms
calculated total energy: -0.252 Ry per atom

---

Material: LiCa2Si3Pd4
Method: DFT, PBE
State: relaxed

Geometry as extended XYZ:
```
10
Lattice="4.2673 0.0000 0.0000 0.0000 4.2673 0.0000 0.0000 0.0000 9.8091" Properties=species:S:1:pos:R:3 pbc="T T T"
Li 2.1337 2.1337 4.9045
Ca 2.1337 0.0000 2.4701
Ca 0.0000 2.1337 7.3390
Si 0.0000 0.0000 4.9045
Si 2.1337 0.0000 8.5727
Si 0.0000 2.1337 1.2363
Pd 2.1337 2.1337 0.0000
Pd 0.0000 0.0000 0.0000
Pd 2.1337 0.0000 6.1830
Pd 0.0000 2.1337 3.6261
```

Output
formation energy (no corrections): -17.40 kcal/mol of atoms
calculated total energy: -0.371 Ry per atom

---

Material: Eu3MgC
Method: DFT, PBE
State: relaxed

Geometry as extended XYZ:
```
5
Lattice="5.2584 0.0000 0.0000 0.0000 5.2584 0.0000 0.0000 0.0000 5.2584" Properties=species:S:1:pos:R:3 pbc="T T T"
Eu 0.0000 2.6292 0.0000
Eu 0.0000 0.0000 2.6292
Eu 2.6292 0.0000 0.0000
Mg 2.6292 2.6292 2.6292
C 0.0000 0.0000 0.0000
```

Output
calculated total energy: -0.601 Ry per atom
formation energy from the elements: 3.583 kcal/mol of atoms

---

Material: LaCrIr2
Method: DFT, PBE
State: relaxed

Geometry as extended XYZ:
```
4
Lattice="-1.8850 4.1468 -2.4588 -1.0411 -1.1138 -4.9468 -1.2658 -2.3104 4.4559" Properties=species:S:1:pos:R:3 pbc="T T T"
Cr -2.3069 1.6765 -0.8529
Ir 0.0000 0.0000 0.0000
Ir -1.8850 -0.9538 -2.0969
La -1.4631 1.5165 -3.7028
```

Output
calculated total energy: -0.586 Ry per atom
formation energy from the elements: 2.329 kcal/mol of atoms

---

Material: KRuCSe2
Method: DFT, PBE
State: relaxed

Geometry as extended XYZ:
```
5
Lattice="4.5092 0.0000 0.0000 0.0000 4.8347 0.0000 0.0000 0.0000 4.5092" Properties=species:S:1:pos:R:3 pbc="T T T"
Ru 2.2546 2.4174 2.2546
K 0.0000 2.4174 0.0000
C 0.0000 0.0000 0.0000
Se 0.0000 0.0000 2.2546
Se 2.2546 0.0000 0.0000
```

Output
formation energy (no corrections): 35.75 kcal/mol of atoms
calculated total energy: -0.277 Ry per atom

---

Material: NaZn8Pt4
Method: DFT, PBE
State: relaxed

Geometry as extended XYZ:
```
13
Lattice="5.1367 0.0000 2.0647 2.5684 6.2137 1.0324 0.2510 0.0000 6.7977" Properties=species:S:1:pos:R:3 pbc="T T T"
Na 0.0000 0.0000 0.0000
Zn 1.0192 2.0599 4.8865
Zn 1.8001 4.1538 2.9436
Zn 3.5876 4.1538 5.9188
Zn 4.3685 2.0599 3.9760
Zn 4.6172 4.8205 3.3574
Zn 3.3389 1.3931 6.5375
Zn 2.0488 1.3931 2.3250
Zn 5.9073 4.8205 7.5698
Pt 0.1255 0.0000 3.3989
Pt 2.6938 0.0000 4.4312
Pt 1.2842 3.1068 0.5162
Pt 3.8526 3.1068 1.5486
```

Output
calculated total energy: -0.233 Ry per atom
formation energy from the elements: -9.918 kcal/mol of atoms

---

Material: Ac2PmNd
Method: DFT, PBE
State: relaxed

Geometry as extended XYZ:
```
8
Lattice="-0.8180 -4.8368 -1.9841 5.2396 -2.8905 4.8862 -5.5508 -1.2090 5.2370" Properties=species:S:1:pos:R:3 pbc="T T T"
Ac -1.5408 -2.3520 6.3672
Ac 0.4116 -6.5843 1.7720
Ac 3.0305 -8.0290 4.2143
Ac -4.1597 -0.9072 3.9248
Pm 0.7439 -5.1915 5.2922
Pm -1.8731 -3.7448 2.8470
Nd 3.5200 -4.5869 2.6730
Nd -4.6492 -4.3493 5.4662
```

Output
calculated total energy: -0.324 Ry per atom
formation energy from the elements: 0.605 kcal/mol of atoms

---

Material: PrSm4Er3S8
Method: DFT, PBE
State: relaxed

Geometry as extended XYZ:
```
16
Lattice="7.9300 0.0000 0.0000 0.0000 7.9538 0.0103 -3.9650 -3.9616 5.6103" Properties=species:S:1:pos:R:3 pbc="T T T"
Pr 0.0000 3.9769 0.0052
Sm 3.9650 0.0000 0.0000
Sm 1.9825 -1.9808 2.8052
Sm 0.0000 0.0000 0.0000
Sm -1.9825 -1.9808 2.8052
Er 3.9650 3.9769 0.0052
Er 1.9825 1.9961 2.8103
Er -1.9825 1.9961 2.8103
S -1.9200 1.9852 5.5607
S 0.0000 3.9031 2.8441
S 0.0000 0.0858 2.8631
S 1.9200 1.9852 5.5607
S 2.0450 2.0070 0.0600
S 3.9650 3.9064 2.7576
S 3.9650 0.0891 2.7766
S 5.8850 2.0070 0.0600
```

Output
formation energy (no corrections): -45.85 kcal/mol of atoms
calculated total energy: -0.469 Ry per atom

---

Material: CaMoH2Ir
Method: DFT, PBE
State: relaxed

Geometry as extended XYZ:
```
5
Lattice="-1.8012 3.5321 -0.3730 -3.3760 -2.0105 -2.7358 -2.1748 -0.7662 3.2468" Properties=species:S:1:pos:R:3 pbc="T T T"
H -1.0874 -0.3831 1.6234
H -0.9006 1.7660 -0.1865
Mo 0.0000 0.0000 0.0000
Ir -1.6880 -1.0052 -1.3679
Ca -3.6760 0.3777 0.0690
```

Output
calculated total energy: -0.398 Ry per atom

---

Material: Hf3ZnGa2
Method: DFT, PBE
State: relaxed

Geometry as extended XYZ:
```
24
Lattice="-0.3213 -1.6906 -3.7506 9.7923 -1.3315 -0.2387 -1.2335 -9.8902 4.5638" Properties=species:S:1:pos:R:3 pbc="T T T"
Hf 3.6181 -1.2421 -0.8851
Hf 4.6194 -11.6703 1.4596
Hf 7.8145 -7.0757 -0.8851
Hf 0.4230 -5.8366 1.4596
Hf 6.2136 -3.2600 -0.1979
Hf 2.0239 -9.6524 0.7724
Hf 1.0260 -4.4877 -1.4702
Hf 7.2115 -8.4246 2.0447
Hf 3.4184 -4.5309 0.6145
Hf 4.8191 -8.3815 -0.0400
Hf 8.4282 -3.8432 -2.3948
Hf -0.1907 -9.0691 2.9693
Zn 0.8389 -1.8683 -0.3648
Zn 7.3986 -11.0440 0.9392
Zn 5.2816 -5.7272 -1.2760
Zn 2.9559 -7.1851 1.8505
Ga 5.9464 -6.0792 1.0958
Ga 2.2911 -6.8331 -0.5213
Ga 1.4593 -1.6911 -2.7679
Ga 6.7782 -11.2213 3.3424
Ga 8.8754 -4.7863 0.2621
Ga -0.6379 -8.1261 0.3124
Ga 3.9734 -3.7241 -2.0669
Ga 4.2641 -9.1883 2.6414
```

Output
calculated total energy: -0.483 Ry per atom
formation energy from the elements: -8.682 kcal/mol of atoms

---

Material: NaCl
Method: DFT, PBE
State: relaxed

Geometry as extended XYZ:
```
4
Lattice="3.9450 0.0000 0.0000 -1.9725 3.4165 0.0000 0.0000 0.0000 6.8470" Properties=species:S:1:pos:R:3 pbc="T T T"
Na 0.0000 0.0000 0.0000
Na 0.0000 0.0000 3.4235
Cl 0.0000 2.2777 1.7118
Cl 1.9725 1.1388 5.1353
```

Output
formation energy (no corrections): -41.05 kcal/mol of atoms
calculated total energy: -0.247 Ry per atom

---

What is the calculated total energy in the ninth record?
-0.469 Ry per atom